Entry 1:
Density functional theory data (PBE) for crystalline BaLa2Cd2 at its relaxed geometry.

Cell lengths 4.0364, 21.8597, 3.9955 Å; angles 90.00, 90.00, 90.00 degrees
Closest atoms and distances in Å follow each position.
Space group Cmmm (No. 65)
Symmetry-distinct sites (fractional):
Ba 0.0000 0.0000 0.0000 (multiplicity 2)  8 Cd 3.66, 4 Ba 4.00-4.04, 2 La 4.06
La 0.0000 0.1857 0.0000 (multiplicity 4)  4 Cd 3.34, 2 La 3.46
Cd 0.0000 0.3944 0.5000 (multiplicity 4)  4 La 3.34, 4 Ba 3.66

* M_tot: 0.0 μB per formula unit
* E: -2.8703 eV/atom
* D(E_F): 6.189 states/eV/f.u.

Entry 2:
Density functional theory data (PBE) for crystalline BaLaCd2 at its relaxed geometry.

Cell lengths 4.0706, 4.0706, 30.8851 Å; angles 90.00, 90.00, 120.00 degrees
Closest atoms and distances in Å follow each position.
Space group R-3m (No. 166, hexagonal axes)
Symmetry-distinct sites (fractional):
Ba 0.0000 0.0000 0.0000 (multiplicity 3)  6 Cd 3.61
La 0.0000 0.0000 0.5000 (multiplicity 3)  6 Cd 3.36
Cd 0.0000 0.0000 0.2445 (multiplicity 6)  3 La 3.36, 3 Ba 3.61

* M_tot: 0.0 μB per formula unit
* E: -2.2632 eV/atom
* D(E_F): 4.724 states/eV/f.u.

Entry 3:
Density functional theory data (PBE) for crystalline BaLaCd2 at its relaxed geometry.

Cell lengths 8.9725, 8.9725, 7.6623 Å; angles 90.00, 90.00, 90.00 degrees
Closest atoms and distances in Å follow each position.
Space group I-42d (No. 122)
Symmetry-distinct sites (fractional):
Ba 0.0000 0.0000 0.0000 (multiplicity 4)  4 Cd 3.46, 2 La 3.83
La 0.0000 0.0000 0.5000 (multiplicity 4)  4 Cd 3.18
Cd 0.2267 0.2500 0.6250 (multiplicity 8)  2 La 3.18, 2 Ba 3.46

* M_tot: 0.0 μB per formula unit
* E: -2.1156 eV/atom
* D(E_F): 6.912 states/eV/f.u.

Entry 4:
Density functional theory data (PBE) for crystalline Ba4LaCd5 at its relaxed geometry.

Cell lengths 4.1672, 4.1672, 21.1685 Å; angles 90.00, 90.00, 90.00 degrees
Closest atoms and distances in Å follow each position.
Space group P4/mmm (No. 123)
Symmetry-distinct sites (fractional):
Ba 0.0000 0.0000 0.1031 (multiplicity 2)  8 Cd 3.66-3.67
Ba 0.0000 0.0000 0.3098 (multiplicity 2)  8 Cd 3.68-3.72, 1 La 4.03
La 0.0000 0.0000 0.5000 (multiplicity 1)  8 Cd 3.43
Cd 0.5000 0.5000 0.0000 (multiplicity 1)  8 Ba 3.67
Cd 0.5000 0.5000 0.2057 (multiplicity 2)  8 Ba 3.66-3.68
Cd 0.5000 0.5000 0.4174 (multiplicity 2)  4 La 3.43, 1 Cd 3.50, 4 Ba 3.72

* M_tot: 0.1 μB per formula unit
* E: -2.0378 eV/atom
* D(E_F): 6.401 states/eV/f.u.

Entry 5:
Density functional theory data (PBE) for crystalline BaLaCd2 at its relaxed geometry.

Cell lengths 8.1772, 8.1931, 4.0553 Å; angles 90.00, 90.00, 90.00 degrees
Closest atoms and distances in Å follow each position.
Space group Cmmm (No. 65)
Symmetry-distinct sites (fractional):
Ba 0.0000 0.0000 0.0000 (multiplicity 2)  8 Cd 3.53
La 0.0000 0.5000 0.0000 (multiplicity 2)  8 Cd 3.53
Cd 0.2500 0.2500 0.5000 (multiplicity 4)  4 Ba 3.53, 4 La 3.53

* M_tot: 0.0 μB per formula unit
* E: -2.4470 eV/atom
* D(E_F): 3.237 states/eV/f.u.

Entry 6:
Density functional theory data (PBE) for crystalline BaLaCd2 at its relaxed geometry.

Cell lengths 4.9083, 4.9083, 10.8813 Å; angles 90.00, 90.00, 90.00 degrees
Closest atoms and distances in Å follow each position.
Space group I-4m2 (No. 119)
Symmetry-distinct sites (fractional):
Ba 0.0000 0.0000 0.0000 (multiplicity 2)  8 Cd 3.47-3.66, 4 La 3.66
La 0.0000 0.5000 0.2500 (multiplicity 2)  8 Cd 3.47-3.66, 4 Ba 3.66
Cd 0.0000 0.0000 0.5000 (multiplicity 2)  4 Ba 3.47, 4 La 3.66, 4 Cd 3.66
Cd 0.0000 0.5000 0.7500 (multiplicity 2)  4 La 3.47, 4 Ba 3.66, 4 Cd 3.66

* M_tot: 0.4 μB per formula unit
* E: -2.2863 eV/atom
* D(E_F): 5.699 states/eV/f.u.

Entry 7:
Density functional theory data (PBE) for crystalline BaLaCd2 at its relaxed geometry.

Cell lengths 4.0602, 4.0943, 8.2366 Å; angles 90.00, 90.08, 90.00 degrees
Closest atoms and distances in Å follow each position.
Space group P2/m (No. 10)
Symmetry-distinct sites (fractional):
Ba 0.0000 0.0000 0.0000 (multiplicity 1)  8 Cd 3.71, 4 Ba 4.06-4.09, 2 La 4.12
La 0.0000 0.0000 0.5000 (multiplicity 1)  8 Cd 3.39
Cd 0.4996 0.5000 0.2832 (multiplicity 2)  4 La 3.39, 1 Cd 3.57, 4 Ba 3.71

* M_tot: 0.2 μB per formula unit
* E: -2.4868 eV/atom
* D(E_F): 3.724 states/eV/f.u.

Entry 8:
Density functional theory data (PBE) for crystalline BaLaCd2 at its relaxed geometry.

Cell lengths 13.0253, 3.9441, 5.7043 Å; angles 90.00, 115.78, 90.00 degrees
Closest atoms and distances in Å follow each position.
Space group Cm (No. 8)
Symmetry-distinct sites (fractional):
Ba 0.0000 0.0000 0.0000 (multiplicity 2)  6 Cd 3.51-3.65, 2 La 3.67-3.68
La 0.3021 0.5000 0.3022 (multiplicity 2)  6 Cd 3.50-3.55, 2 Ba 3.67-3.68
Cd 0.0488 0.5000 0.5481 (multiplicity 2)  2 Cd 2.97
Cd 0.2380 0.0000 0.7384 (multiplicity 2)  2 Cd 2.97

* M_tot: 0.0 μB per formula unit
* E: -2.3737 eV/atom
* D(E_F): 2.943 states/eV/f.u.